# 1
Material: AuS4
Method: DFT, PBE
State: optimized geometry

Cell lengths 4.814, 4.814, 4.814 Å; angles 90.00, 90.00, 90.00 degrees
Fractional coordinates of all 5 atoms:
Au1 0.000 0.000 0.000
S1 0.000 0.000 0.500
S2 0.000 0.500 0.000
S3 0.500 0.000 0.000
S4 0.500 0.500 0.500

Calculated values
DOS(E_F): 1.408 states/eV per atom
relative energy among the computed polymorphs: 955.6 meV/atom

# 2
Material: AuS
Method: DFT, PBE
State: optimized geometry

Cell lengths 6.518, 6.518, 6.518 Å; angles 98.74, 98.74, 134.13 degrees
Fractional coordinates of all 8 atoms:
Au1 0.089 0.722 0.810
Au2 0.278 0.089 0.367
Au3 0.722 0.911 0.633
Au4 0.911 0.278 0.190
S1 0.184 0.355 0.539
S2 0.355 0.816 0.171
S3 0.645 0.184 0.829
S4 0.816 0.645 0.461

Calculated values
final energy: -29.281 eV/cell
DOS(E_F): 0.370 states/eV per atom

# 3
Material: AuS
Method: DFT, PBE
State: optimized geometry

Cell lengths 7.164, 7.164, 3.745 Å; angles 90.00, 90.00, 90.00 degrees
Fractional coordinates of all 8 atoms:
Au1 0.188 0.188 0.000
Au2 0.312 0.688 0.500
Au3 0.688 0.312 0.500
Au4 0.812 0.812 0.000
S1 0.161 0.839 0.000
S2 0.339 0.339 0.500
S3 0.661 0.661 0.500
S4 0.839 0.161 0.000

Calculated values
final energy: -27.800 eV/cell
DOS(E_F): 0.803 states/eV per atom